A plane-wave DFT calculation with PBE was carried out for a relaxed structure of Hg3BiPd6.

a b c (Å): 9.9388 13.7167 5.6185
angles (deg): 90.00 90.00 90.00
Last column: nearest neighbours and their distance in Å.
Space group Cmc2_1 (No. 36)
Inequivalent atoms, fractional coordinates:
1 Hg 0.0000 0.0864 0.0000  4 Pd 2.84-2.86, 2 Hg 2.94
2 Hg 0.2152 0.4263 0.6410  7 Pd 2.75-2.94, 1 Hg 2.94
3 Bi 0.0000 0.3163 0.1212  6 Pd 2.75-2.96
4 Pd 0.0000 0.2798 0.6022  2 Bi 2.75-2.96, 6 Pd 2.83-2.96, 2 Hg 2.94
5 Pd 0.0000 0.4961 0.3854  4 Hg 2.75-2.76, 2 Pd 2.81, 2 Bi 2.88-2.89
6 Pd 0.1370 0.0959 0.5571  4 Pd 2.72-2.88, 4 Hg 2.78-2.86
7 Pd 0.2339 0.2398 0.8712  2 Hg 2.78-2.87, 6 Pd 2.80-2.96, 2 Bi 2.91-3.09

The energy above the most stable polymorph in this dataset comes out at 78.5 meV per atom. The crystal system is orthorhombic.

***

A plane-wave DFT calculation with PBE was carried out for a relaxed structure of Ac2YMg.

a b c (Å): 3.7509 3.7509 39.2098
angles (deg): 90.00 90.00 120.00
Last column: nearest neighbours and their distance in Å.
Space group R-3m (No. 166, hexagonal axes)
Inequivalent atoms, fractional coordinates:
1 Ac 0.0000 0.0000 0.0900  1 Mg 3.53, 3 Y 3.70, 6 Ac 3.75
2 Y 0.0000 0.0000 0.5000  6 Ac 3.70, 6 Y 3.75
3 Mg 0.0000 0.0000 0.0000  2 Ac 3.53, 6 Mg 3.75

The energy above the most stable polymorph in this dataset comes out at 254.1 meV per atom. The crystal system is trigonal.

***

A plane-wave DFT calculation with PBE was carried out for a relaxed structure of Si2PAuC.

a b c (Å): 3.2733 4.5702 6.1595
angles (deg): 83.35 75.55 72.75
Last column: nearest neighbours and their distance in Å.
Space group P1 (No. 1)
Inequivalent atoms, fractional coordinates:
1 Si 0.0000 0.0000 0.0000  2 C 1.85-1.86
2 Si 0.0687 0.4372 0.4524  2 P 2.27, 2 Au 2.45-2.51
3 P 0.6907 0.4426 0.1877  1 C 1.78
4 Au 0.9693 0.9396 0.6142  3 Si 2.45-2.51, 1 C 2.73
5 C 0.5623 0.8071 0.0425  1 P 1.78, 2 Si 1.85-1.86

As for the energy relative to the elements, uncorrected: 27.3 kJ/mol of atoms. The energy above the most stable polymorph in this dataset comes out at 80.5 meV per atom. The crystal system is triclinic.

***

A plane-wave DFT calculation with PBE was carried out for a relaxed structure of PmHo3Th2P6.

a b c (Å): 17.6960 4.0748 8.1107
angles (deg): 90.00 103.00 90.00
Last column: nearest neighbours and their distance in Å.
Space group C2/m (No. 12)
Inequivalent atoms, fractional coordinates:
1 Pm 0.0000 0.0000 0.0000  6 P 2.91
2 Ho 0.0000 0.0000 0.5000  6 P 2.84-2.85
3 Ho 0.1656 0.5000 0.8338  6 P 2.83-2.85
4 Th 0.1654 0.5000 0.3307  6 P 2.88-2.92
5 P 0.0016 0.5000 0.7443  3 Ho 2.83-2.84, 1 Th 2.88, 2 Pm 2.91
6 P 0.1652 0.0000 0.5875  3 Ho 2.85, 3 Th 2.91-2.92
7 P 0.1689 0.0000 0.0790  3 Ho 2.84-2.85, 2 Th 2.89, 1 Pm 2.91

For the total DFT energy (no corrections), the calculation gives -7.08 eV/atom. The crystal system is monoclinic.

***

A plane-wave DFT calculation with PBE was carried out for a relaxed structure of Cd2HgMo.

a b c (Å): 6.8594 6.8594 6.8594
angles (deg): 90.00 90.00 90.00
Last column: nearest neighbours and their distance in Å.
Space group F-43m (No. 216)
Inequivalent atoms, fractional coordinates:
1 Cd 0.0000 0.0000 0.0000  4 Mo 2.97, 4 Cd 2.97
2 Cd 0.2500 0.2500 0.2500  4 Cd 2.97, 4 Hg 2.97
3 Hg 0.0000 0.0000 0.5000  4 Cd 2.97, 4 Mo 2.97
4 Mo 0.2500 0.2500 0.7500  4 Hg 2.97, 4 Cd 2.97

For the total DFT energy (no corrections), the calculation gives -2.67 eV/atom. The crystal system is cubic.

***

A plane-wave DFT calculation with PBE was carried out for a relaxed structure of Al2Fe3B.

a b c (Å): 2.7401 4.2247 12.1537
angles (deg): 90.00 90.00 90.00
Last column: nearest neighbours and their distance in Å.
Space group Immm (No. 71)
Inequivalent atoms, fractional coordinates:
1 Al 0.0000 0.0000 0.2093  4 Fe 2.43-2.58, 4 Al 2.70
2 Fe 0.0000 0.5000 0.1105  2 B 1.92
3 Fe 0.0000 0.5000 0.5000  2 B 2.11
4 B 0.0000 0.0000 0.5000  6 Fe 1.92-2.11

For the total DFT energy (no corrections), the calculation gives -6.70 eV/atom. The crystal system is orthorhombic.